BaMg2Au2 | PBE | relaxed

Cell and atoms, written as CIF:
```
data_BaMg2Au2
_chemical_formula_sum 'Ba2 Mg4 Au4'
_space_group_name_H-M_alt 'P 4/m b m'
_space_group_IT_number 127
_space_group_name_Hall '-P 4 2ab'
_cell_length_a 8.425
_cell_length_b 8.425
_cell_length_c 3.487
_cell_angle_alpha 90.00
_cell_angle_beta 90.00
_cell_angle_gamma 90.00
loop_
_atom_site_label
_atom_site_fract_x
_atom_site_fract_y
_atom_site_fract_z
Ba1 0.000 0.000 0.000
Mg1 0.135 0.365 0.500
Au1 0.142 0.642 0.000
```

Output
* calculated density: 7781 kg/m3
* calculated volume: 24.749 A^3/atom
* E_tot: -27.22 eV/cell
* energy above the lowest structure with this stoichiometry: 22.6 kJ/mol of atoms

***

BaMg2Au | PBE | relaxed

Cell and atoms, written as CIF:
```
data_BaMg2Au
_chemical_formula_sum 'Ba2 Mg4 Au2'
_space_group_name_H-M_alt 'C 1 2/m 1'
_space_group_IT_number 12
_cell_length_a 6.351
_cell_length_b 12.357
_cell_length_c 3.809
_cell_angle_alpha 90.00
_cell_angle_beta 124.39
_cell_angle_gamma 90.00
loop_
_space_group_symop_operation_xyz
'x,y,z'
'-x,-y,-z'
'-x,y,-z'
'x,-y,z'
'x+1/2,y+1/2,z'
'-x+1/2,-y+1/2,-z'
'-x+1/2,y+1/2,-z'
'x+1/2,-y+1/2,z'
loop_
_atom_site_label
_atom_site_fract_x
_atom_site_fract_y
_atom_site_fract_z
Ba1 0.000 0.000 0.000
Mg1 0.250 0.250 0.500
Au1 0.000 0.500 0.000
```

Output
* calculated density: 5155 kg/m3
* calculated volume: 30.836 A^3/atom
* E_tot: -17.30 eV/cell

***

Ba4MgAu | PBE | relaxed

Cell and atoms, written as CIF:
```
data_Ba4MgAu
_chemical_formula_sum 'Ba16 Mg4 Au4'
_space_group_name_H-M_alt 'C 1 2/c 1'
_space_group_IT_number 15
_cell_length_a 10.438
_cell_length_b 15.126
_cell_length_c 7.448
_cell_angle_alpha 90.00
_cell_angle_beta 108.28
_cell_angle_gamma 90.00
loop_
_space_group_symop_operation_xyz
'x,y,z'
'-x,-y,-z'
'-x,y,-z+1/2'
'x,-y,z+1/2'
'x+1/2,y+1/2,z'
'-x+1/2,-y+1/2,-z'
'-x+1/2,y+1/2,-z+1/2'
'x+1/2,-y+1/2,z+1/2'
loop_
_atom_site_label
_atom_site_fract_x
_atom_site_fract_y
_atom_site_fract_z
Ba1 0.107 0.170 0.044
Ba2 0.211 0.418 0.388
Mg1 0.000 0.375 0.750
Au1 0.000 0.001 0.250
```

Output
* calculated density: 4584 kg/m3
* calculated volume: 46.523 A^3/atom
* E_tot: -55.64 eV/cell
* energy above the lowest structure with this stoichiometry: 0.1 kJ/mol of atoms

***

What did the second record say?
BaMg2Au | PBE | relaxed

Cell and atoms, written as CIF:
```
data_BaMg2Au
_chemical_formula_sum 'Ba2 Mg4 Au2'
_space_group_name_H-M_alt 'C 1 2/m 1'
_space_group_IT_number 12
_cell_length_a 6.351
_cell_length_b 12.357
_cell_length_c 3.809
_cell_angle_alpha 90.00
_cell_angle_beta 124.39
_cell_angle_gamma 90.00
loop_
_space_group_symop_operation_xyz
'x,y,z'
'-x,-y,-z'
'-x,y,-z'
'x,-y,z'
'x+1/2,y+1/2,z'
'-x+1/2,-y+1/2,-z'
'-x+1/2,y+1/2,-z'
'x+1/2,-y+1/2,z'
loop_
_atom_site_label
_atom_site_fract_x
_atom_site_fract_y
_atom_site_fract_z
Ba1 0.000 0.000 0.000
Mg1 0.250 0.250 0.500
Au1 0.000 0.500 0.000
```

Output
* calculated density: 5155 kg/m3
* calculated volume: 30.836 A^3/atom
* E_tot: -17.30 eV/cell